Record 1
Below is AcTaBi3 after structural relaxation, with properties calculated at the PBE-GGA level.

Cell lengths 5.563, 5.563, 5.563 Å; angles 90.00, 90.00, 90.00 degrees
Space group Pm-3m (No. 221)
Symmetry-distinct sites (fractional):
Ac1 0.000 0.000 0.000 [1 per cell]
Ta1 0.500 0.500 0.500 [1 per cell]
Bi1 0.000 0.500 0.500 [3 per cell]

Computed properties:
Calculated volume = 34.43 A^3/atom
Crystal system = cubic
ΔH_f (0 K) = 0.12 eV per atom
Uncorrected energy = -26.98 eV per cell

***

Record 2
Below is Sm5Ho2Ir4 after structural relaxation, with properties calculated at the PBE-GGA level.

Cell lengths 17.661, 4.031, 7.974 Å; angles 90.00, 92.96, 90.00 degrees
Space group C2/m (No. 12)
Symmetry-distinct sites (fractional):
Sm1 0.000 0.000 0.000 [2 per cell]
Sm2 0.080 0.500 0.625 [4 per cell]
Sm3 0.188 0.000 0.352 [4 per cell]
Ho1 0.173 0.500 0.997 [4 per cell]
Ir1 0.069 0.500 0.249 [4 per cell]
Ir2 0.193 0.000 0.749 [4 per cell]

Computed properties:
Calculated volume = 25.77 A^3/atom
Crystal system = monoclinic
ΔH_f (0 K) = -0.64 eV per atom
Uncorrected energy = -150.45 eV per cell

***

Record 3
Below is Ba5Cd4I after structural relaxation, with properties calculated at the PBE-GGA level.

Cell lengths 4.225, 4.225, 22.216 Å; angles 90.00, 90.00, 90.00 degrees
Space group P4/mmm (No. 123)
Symmetry-distinct sites (fractional):
Ba1 0.000 0.000 0.000 [1 per cell]
Ba2 0.000 0.000 0.194 [2 per cell]
Ba3 0.000 0.000 0.387 [2 per cell]
Cd1 0.500 0.500 0.098 [2 per cell]
Cd2 0.500 0.500 0.292 [2 per cell]
I1 0.500 0.500 0.500 [1 per cell]

Computed properties:
Calculated volume = 39.66 A^3/atom
Uncorrected formation energy = -0.50 eV per atom
Crystal system = tetragonal
Uncorrected energy = -19.86 eV per cell

***

Record 4
Below is TcPW after structural relaxation, with properties calculated at the PBE-GGA level.

Cell lengths 2.920, 2.920, 9.767 Å; angles 90.00, 90.00, 90.00 degrees
Space group I4mm (No. 107)
Symmetry-distinct sites (fractional):
Tc1 0.000 0.000 0.000 [2 per cell]
P1 0.000 0.000 0.635 [2 per cell]
W1 0.000 0.000 0.302 [2 per cell]

Computed properties:
Calculated volume = 13.88 A^3/atom
Crystal system = tetragonal
ΔE to the lowest computed polymorph = 0.000 eV/atom
ΔH_f (0 K) = -0.21 eV per atom
Uncorrected energy = -58.72 eV per cell

***

Record 5
Below is Pr3InAg2 after structural relaxation, with properties calculated at the PBE-GGA level.

Cell lengths 3.759, 3.759, 11.869 Å; angles 90.00, 90.00, 90.00 degrees
Space group P4/mmm (No. 123)
Symmetry-distinct sites (fractional):
Pr1 0.000 0.000 0.000 [1 per cell]
Pr2 0.000 0.000 0.325 [2 per cell]
In1 0.500 0.500 0.500 [1 per cell]
Ag1 0.500 0.500 0.161 [2 per cell]

Computed properties:
Calculated volume = 27.95 A^3/atom
Crystal system = tetragonal
ΔH_f (0 K) = -0.33 eV per atom
Uncorrected energy = -24.75 eV per cell

***

Record 6
Below is Sr3Zn3Ga2 after structural relaxation, with properties calculated at the PBE-GGA level.

Cell lengths 4.709, 11.207, 15.752 Å; angles 90.00, 90.00, 90.00 degrees
Space group Cmcm (No. 63)
Symmetry-distinct sites (fractional):
Sr1 0.000 0.100 0.250 [4 per cell]
Sr2 0.000 0.397 0.102 [8 per cell]
Zn1 0.000 0.113 0.039 [8 per cell]
Zn2 0.000 0.201 0.750 [4 per cell]
Ga1 0.000 0.305 0.600 [8 per cell]

Computed properties:
Calculated volume = 25.98 A^3/atom
Crystal system = orthorhombic
ΔH_f (0 K) = -0.32 eV per atom
Uncorrected energy = -70.07 eV per cell

***

Record 7
Below is LuB6N6 after structural relaxation, with properties calculated at the PBE-GGA level.

Cell lengths 4.629, 4.629, 4.629 Å; angles 90.00, 90.00, 90.00 degrees
Space group Pm-3 (No. 200)
Symmetry-distinct sites (fractional):
Lu1 0.000 0.000 0.000 [1 per cell]
B1 0.000 0.237 0.500 [6 per cell]
N1 0.000 0.500 0.249 [6 per cell]

Computed properties:
Calculated volume = 7.63 A^3/atom
Uncorrected formation energy = -0.22 eV per atom
Crystal system = cubic
Uncorrected energy = -97.40 eV per cell

***

Record 8
Below is Ce2Hg2Au after structural relaxation, with properties calculated at the PBE-GGA level.

Cell lengths 6.713, 13.617, 6.000 Å; angles 90.00, 90.00, 90.00 degrees
Space group Ibam (No. 72)
Symmetry-distinct sites (fractional):
Ce1 0.204 0.165 0.000 [8 per cell]
Hg1 0.151 0.407 0.000 [8 per cell]
Au1 0.000 0.000 0.250 [4 per cell]

Computed properties:
Calculated volume = 27.42 A^3/atom
Crystal system = orthorhombic
ΔE to the lowest computed polymorph = 0.109 eV/atom
ΔH_f (0 K) = -0.27 eV per atom
Uncorrected energy = -68.33 eV per cell

***

Record 9
Below is AcSmSiAg after structural relaxation, with properties calculated at the PBE-GGA level.

Cell lengths 7.564, 7.564, 7.564 Å; angles 90.00, 90.00, 90.00 degrees
Space group F-43m (No. 216)
Symmetry-distinct sites (fractional):
Ac1 0.000 0.000 0.000 [4 per cell]
Sm1 0.000 0.000 0.500 [4 per cell]
Si1 0.250 0.250 0.250 [4 per cell]
Ag1 0.250 0.250 0.750 [4 per cell]

Computed properties:
Calculated volume = 27.05 A^3/atom
Uncorrected formation energy = -0.34 eV per atom
Crystal system = cubic
Uncorrected energy = -73.88 eV per cell

***

Record 10
Below is SrLiNi2 after structural relaxation, with properties calculated at the PBE-GGA level.

Cell lengths 4.102, 5.042, 7.591 Å; angles 90.00, 90.00, 90.00 degrees
Space group Imm2 (No. 44)
Symmetry-distinct sites (fractional):
Sr1 0.000 0.000 0.000 [2 per cell]
Li1 0.000 0.500 0.807 [2 per cell]
Ni1 0.000 0.000 0.568 [2 per cell]
Ni2 0.000 0.500 0.194 [2 per cell]

Computed properties:
Calculated volume = 19.62 A^3/atom
Crystal system = orthorhombic
ΔE to the lowest computed polymorph = 0.201 eV/atom
ΔH_f (0 K) = 0.20 eV per atom
Uncorrected energy = -28.73 eV per cell